i:
{
  "formula": "Te3AuBr",
  "functional": "PBE-GGA",
  "state": "relaxed",
  "sg": "No. 221",
  "density_g_cm3": 6.71,
  "lattice_angstrom": [[5.465, 0.000, 0.000], [0.000, 5.465, 0.000], [0.000, 0.000, 5.465]],
  "species": ["Te", "Te", "Te", "Au", "Br"],
  "fractional_positions": [[0.000, 0.000, 0.500], [0.000, 0.500, 0.000], [0.500, 0.000, 0.000], [0.000, 0.000, 0.000], [0.500, 0.500, 0.500]]
}

---

ii:
{
  "formula": "Te3AuBr",
  "functional": "PBE-GGA",
  "state": "relaxed",
  "sg": "No. 221",
  "density_g_cm3": 6.42,
  "lattice_angstrom": [[5.548, 0.000, 0.000], [0.000, 5.548, 0.000], [0.000, 0.000, 5.548]],
  "species": ["Te", "Te", "Te", "Au", "Br"],
  "fractional_positions": [[0.000, 0.000, 0.500], [0.000, 0.500, 0.000], [0.500, 0.000, 0.000], [0.500, 0.500, 0.500], [0.000, 0.000, 0.000]]
}

---

Which of them is the least stable? Correct choice: ii.